(1)
A relaxed YPdBr2 crystal, computed with PBE-GGA.

abc: 5.004 5.004 5.004
angles: 60.00 60.00 60.00
Fractional positions:
Pd 0.500 0.500 0.500
Y 0.000 0.000 0.000
Br 0.250 0.250 0.250
Br 0.750 0.750 0.750

N(E_F) in states/eV/cell: 8.4
Raw total energy in eV per cell: -17.85
SG: No. 225
Magnetization in μB per atom: 0.000
E above lowest polymorph in meV per atom: 24
E_form (uncorrected) in eV/atom: -0.71

(2)
A relaxed Y3PdBr3 crystal, computed with PBE-GGA.

abc: 6.839 6.839 11.744
angles: 73.07 73.07 60.00
Fractional positions:
Br 0.107 0.437 0.678
Br 0.563 0.223 0.322
Br 0.893 0.563 0.322
Br 0.777 0.107 0.678
Br 0.223 0.893 0.322
Br 0.437 0.777 0.678
Y 0.285 0.615 0.149
Y 0.615 0.950 0.149
Y 0.950 0.285 0.149
Y 0.715 0.385 0.851
Y 0.385 0.050 0.851
Y 0.050 0.715 0.851
Pd 0.333 0.333 0.000
Pd 0.667 0.667 0.000

N(E_F) in states/eV/cell: 5.7
Raw total energy in eV per cell: -77.26
SG: No. 148
Magnetization in μB per atom: 0.000
E_form (uncorrected) in eV/atom: -1.29

(3)
A relaxed YPd2Br crystal, computed with PBE-GGA.

abc: 4.888 4.888 4.888
angles: 60.00 60.00 60.00
Fractional positions:
Pd 0.750 0.750 0.750
Pd 0.250 0.250 0.250
Br 0.000 0.000 0.000
Y 0.500 0.500 0.500

N(E_F) in states/eV/cell: 2.8
Raw total energy in eV per cell: -19.97
SG: No. 225
Magnetization in μB per atom: 0.000
E above lowest polymorph in meV per atom: 100
E_form (uncorrected) in eV/atom: -0.36

(4)
A relaxed YPdBr6 crystal, computed with PBE-GGA.

abc: 6.725 6.986 7.173
angles: 63.53 62.05 57.96
Each line ends with the local moment (μB).
Fractional positions:
Br 0.231 0.927 0.236  0.03
Br 0.596 0.225 0.245  0.02
Br 0.769 0.073 0.764  0.03
Br 0.916 0.594 0.249  0.14
Br 0.084 0.406 0.751  0.14
Br 0.404 0.775 0.755  0.02
Pd 0.000 0.000 0.000  0.43
Y 0.500 0.500 0.500  0.02

N(E_F) in states/eV/cell: 1.7
Raw total energy in eV per cell: -29.09
SG: No. 2
Magnetization in μB per atom: 0.121
E_form (uncorrected) in eV/atom: -0.92

(5)
A relaxed Y4PdBr5 crystal, computed with PBE-GGA.

abc: 4.014 8.565 9.588
angles: 101.94 102.08 90.00
Fractional positions:
Y 0.003 0.221 0.006
Y 0.650 0.077 0.300
Y 0.997 0.779 0.994
Y 0.350 0.923 0.700
Br 0.500 0.500 0.000
Br 0.180 0.843 0.360
Br 0.831 0.670 0.663
Br 0.820 0.157 0.640
Br 0.169 0.330 0.337
Pd 0.500 0.000 0.000

N(E_F) in states/eV/cell: 5.5
Raw total energy in eV per cell: -53.42
SG: No. 12
Magnetization in μB per atom: 0.000
E_form (uncorrected) in eV/atom: -1.40

(6)
A relaxed YPdBr2 crystal, computed with PBE-GGA.

abc: 6.421 6.421 7.453
angles: 64.48 64.48 90.00
Each line ends with the local moment (μB).
Fractional positions:
Pd 0.750 0.250 0.500  -0.01
Pd 0.000 0.000 0.000  -0.01
Br 0.105 0.625 0.250  0.00
Br 0.645 0.125 0.250  0.01
Br 0.875 0.895 0.750  0.00
Br 0.375 0.355 0.750  0.01
Y 0.500 0.500 0.000  0.32
Y 0.250 0.750 0.500  0.32

N(E_F) in states/eV/cell: 4.6
Raw total energy in eV per cell: -34.05
SG: No. 122
Magnetization in μB per atom: 0.170
E above lowest polymorph in meV per atom: 232
E_form (uncorrected) in eV/atom: -0.51

(7)
A relaxed YPd3Br crystal, computed with PBE-GGA.

abc: 5.152 5.152 5.152
angles: 90.00 90.00 90.00
Fractional positions:
Pd 0.000 0.500 0.000
Pd 0.000 0.000 0.500
Pd 0.500 0.000 0.000
Br 0.500 0.500 0.500
Y 0.000 0.000 0.000

N(E_F) in states/eV/cell: 0.3
Raw total energy in eV per cell: -21.15
SG: No. 221
Magnetization in μB per atom: 0.000
E above lowest polymorph in meV per atom: 415
E_form (uncorrected) in eV/atom: 0.51

(8)
A relaxed YPdBr2 crystal, computed with PBE-GGA.

abc: 9.165 9.165 9.165
angles: 23.31 23.31 23.31
Fractional positions:
Br 0.094 0.094 0.094
Br 0.906 0.906 0.906
Y 0.500 0.500 0.500
Pd 0.000 0.000 0.000

N(E_F) in states/eV/cell: 3.1
Raw total energy in eV per cell: -17.95
SG: No. 166
Magnetization in μB per atom: 0.000
E above lowest polymorph in meV per atom: 0
E_form (uncorrected) in eV/atom: -0.74

(9)
A relaxed YPdBr3 crystal, computed with PBE-GGA.

abc: 5.546 5.546 5.546
angles: 90.00 90.00 90.00
Fractional positions:
Br 0.000 0.000 0.500
Br 0.500 0.000 0.000
Br 0.000 0.500 0.000
Pd 0.500 0.500 0.500
Y 0.000 0.000 0.000

N(E_F) in states/eV/cell: 0.0
Raw total energy in eV per cell: -20.56
SG: No. 221
Magnetization in μB per atom: 0.000
E above lowest polymorph in meV per atom: 0
E_form (uncorrected) in eV/atom: -0.78

(10)
A relaxed YPdBr3 crystal, computed with PBE-GGA.

abc: 5.166 5.166 5.166
angles: 90.00 90.00 90.00
Each line ends with the local moment (μB).
Fractional positions:
Br 0.500 0.000 0.000  -0.02
Br 0.000 0.500 0.000  -0.03
Br 0.000 0.000 0.500  -0.02
Pd 0.000 0.000 0.000  -0.10
Y 0.500 0.500 0.500  0.56

N(E_F) in states/eV/cell: 4.9
Raw total energy in eV per cell: -18.65
SG: No. 221
Magnetization in μB per atom: 0.164
E above lowest polymorph in meV per atom: 383
E_form (uncorrected) in eV/atom: -0.39

(11)
A relaxed Zn2Pd2Br crystal, computed with PBE-GGA.

abc: 3.729 3.729 7.041
angles: 74.64 74.64 90.00
Fractional positions:
Pd 0.614 0.614 0.772
Pd 0.386 0.386 0.228
Zn 0.250 0.750 0.500
Zn 0.750 0.250 0.500
Br 0.000 0.000 0.000

N(E_F) in states/eV/cell: 3.7
Raw total energy in eV per cell: -15.17
SG: No. 139
Magnetization in μB per atom: 0.000
E above lowest polymorph in meV per atom: 106
E_form (uncorrected) in eV/atom: -0.11

(12)
A relaxed ZnPdBr crystal, computed with PBE-GGA.

abc: 3.589 3.654 10.692
angles: 90.00 90.00 119.41
Fractional positions:
Zn 0.492 0.985 0.000
Zn 0.392 0.783 0.500
Br 0.169 0.339 0.163
Br 0.169 0.339 0.837
Pd 0.722 0.444 0.634
Pd 0.722 0.444 0.366

N(E_F) in states/eV/cell: 1.7
Raw total energy in eV per cell: -17.19
SG: No. 38
Magnetization in μB per atom: 0.000
E above lowest polymorph in meV per atom: 262
E_form (uncorrected) in eV/atom: -0.15

The highest N(E_F) belongs to which entry? number 1

What is the formula in the first record? YPdBr2